Record 1
{
  "formula": "La2SmGe",
  "functional": "GGA-PBE",
  "state": "relaxed",
  "lattice_angstrom": [[4.7957, 0.0000, 0.0000], [0.0000, 4.7957, 0.0000], [0.0000, 0.0000, 4.9454]],
  "species": ["La", "La", "Sm", "Ge"],
  "frac_coords": [[0.0000, 0.5000, 0.0000], [0.5000, 0.0000, 0.0000], [0.0000, 0.0000, 0.5000], [0.5000, 0.5000, 0.5000]],
  "density_g_cm3": 7.3,
  "e_above_lowest_polymorph_mev_per_atom": 83,
  "e_form_ev_per_atom": -0.37,
  "final_energy_ev_per_cell": -20.68,
  "dos_ef_per_ev_fu": 4.98,
  "total_magnetization_mub_per_atom": 0.000
}

---

Record 2
{
  "formula": "KSr2CdO",
  "functional": "GGA-PBE",
  "state": "relaxed",
  "lattice_angstrom": [[5.1227, 0.0000, 0.0000], [0.0000, 5.1227, 0.0000], [0.0000, 0.0000, 5.7032]],
  "species": ["K", "Sr", "Sr", "Cd", "O"],
  "frac_coords": [[0.0000, 0.0000, 0.0000], [0.0000, 0.5000, 0.5000], [0.5000, 0.0000, 0.5000], [0.5000, 0.5000, 0.0000], [0.0000, 0.0000, 0.5000]],
  "density_g_cm3": 3.8,
  "final_energy_ev_per_cell": -15.47,
  "dos_ef_per_ev_fu": 2.26,
  "total_magnetization_mub_per_atom": 0.000
}

---

Record 3
{
  "formula": "PtRh2Au",
  "functional": "GGA-PBE",
  "state": "relaxed",
  "lattice_angstrom": [[2.7928, 0.0000, 0.0000], [0.0000, 2.7928, 0.0000], [0.0000, 0.0000, 7.9571]],
  "species": ["Pt", "Rh", "Rh", "Au"],
  "frac_coords": [[0.0000, 0.0000, 0.0000], [0.0000, 0.0000, 0.4651], [0.5000, 0.5000, 0.2421], [0.5000, 0.5000, 0.7287]],
  "density_g_cm3": 16.0,
  "e_above_lowest_polymorph_mev_per_atom": 0,
  "e_form_ev_per_atom": 0.06,
  "final_energy_ev_per_cell": -23.79,
  "dos_ef_per_ev_fu": 4.89,
  "total_magnetization_mub_per_atom": 0.000
}